Below is a geometry-optimized TbNdN structure, with properties calculated at the PBE level.

Cell and atoms, written as extended XYZ:
```
3
Lattice="6.2873 0.0000 0.0000 0.0000 3.5647 0.0000 0.0000 -1.7823 3.0871" Properties=species:S:1:pos:R:3 pbc="T T T"
N 0.1017 0.0000 0.0000
Nd 4.8680 1.7823 1.0290
Tb 1.3176 0.0000 2.0581
```

## Properties
Theoretical density (g/cm3): 7.612
Energy (Ry per atom): -0.5027
ΔE_f (raw) (meV/atom): -932.3
Density of states at the Fermi level (states/eV per cell): 3.1

---

Below is a geometry-optimized TbY2Br5 structure, with properties calculated at the PBE level.

Cell and atoms, written as extended XYZ:
```
8
Lattice="6.9571 -0.8259 2.5596 2.3853 6.2456 1.5979 -0.2089 0.9892 6.7753" Properties=species:S:1:pos:R:3 pbc="T T T"
Br 6.8287 4.9904 5.5761
Y 6.7560 3.3438 3.2506
Tb 6.8759 -0.8065 2.5440
Br 5.5685 2.4972 8.0455
Br 2.2491 5.1390 6.3162
Br 4.8845 6.3574 8.7764
Br 0.7371 1.8440 2.2337
Y 5.2517 0.2887 6.2632
```

## Properties
Theoretical density (g/cm3): 3.990
Energy (Ry per atom): -0.3321
ΔE_f (raw) (meV/atom): -1277.5
Density of states at the Fermi level (states/eV per cell): 2.1

---

Below is a geometry-optimized BaTeWI2 structure, with properties calculated at the PBE level.

Cell and atoms, written as extended XYZ:
```
5
Lattice="6.5772 0.0000 0.0000 0.0000 6.5772 0.0000 0.0000 0.0000 6.9291" Properties=species:S:1:pos:R:3 pbc="T T T"
Te 0.0000 0.0000 3.4645
I 0.0000 3.2886 0.0000
W 3.2886 3.2886 3.4645
I 3.2886 0.0000 0.0000
Ba 0.0000 0.0000 0.0000
```

## Properties
Theoretical density (g/cm3): 3.892
Energy (Ry per atom): -0.2433
ΔE_f (raw) (meV/atom): 913.3
Density of states at the Fermi level (states/eV per cell): 10.7